Record 1
Entry from Alexandria via LeMat-Bulk: a relaxed structure of MgCoRu2 (PBE-GGA).

```
MgCoRu2
1.0
1.369 0.790 8.661
-1.369 0.790 8.661
0.000 -1.580 8.661
Mg Co Ru
1 1 2
Cartesian
0.000 0.000 0.000 Mg
0.000 0.000 12.991 Co
0.000 0.000 6.350 Ru
0.000 0.000 19.633 Ru
```

- space group = R-3m, No. 166
- energy relative to the elements (eV per atom) = 0.2097


Record 2
Entry from Alexandria via LeMat-Bulk: a relaxed structure of Ag2IrAu (PBE-GGA).

```
Ag2IrAu
1.0
2.806 0.000 0.000
0.000 2.806 0.000
0.000 0.000 8.593
Ag Ir Au
2 1 1
Cartesian
0.000 0.000 0.000 Ag
1.403 1.403 2.205 Ag
1.403 1.403 6.507 Ir
0.000 0.000 4.425 Au
```

- ΔE to the lowest computed polymorph (eV/f.u.) = 0.26
- space group = P4mm, No. 99
- energy relative to the elements (eV per atom) = 0.2805


Question: The lowest energy relative to the elements belongs to which entry?
Answer: MgCoRu2